# 1
PBE ZnH2Rh, relaxed; theoretical density = 7.66 g/cm³; N(E_F) = 0.179 states/eV per atom; spin magnetization = 0.00 μB/cell
1.0
1.5066 0.8698 4.6932
-1.5066 0.8698 4.6932
0.0000 -1.7397 4.6932
Zn H Rh
1 2 1
direct
0.0000 0.0000 0.0000
0.5558 0.5558 0.5558
0.7948 0.7948 0.7948
0.1831 0.1831 0.1831

=====

# 2
PBE Co3Ir, relaxed; theoretical density = 12.57 g/cm³; N(E_F) = 1.171 states/eV per atom; energy of formation from the pure elements = 83 meV per atom; spin magnetization = 5.27 μB/cell
1.0
1.3040 0.7528 8.2772
-1.3040 0.7528 8.2772
0.0000 -1.5057 8.2772
Co Ir
3 1
direct
0.0000 0.0000 0.0000
0.2539 0.2539 0.2539
0.7461 0.7461 0.7461
0.5000 0.5000 0.5000

=====

# 3
PBE SrLiZn2Rh, relaxed; theoretical density = 4.86 g/cm³; N(E_F) = 0.394 states/eV per atom; energy of formation from the pure elements = -239 meV per atom; spin magnetization = 0.00 μB/cell
1.0
4.8719 0.0000 0.0000
0.0000 4.8719 0.0000
0.0000 0.0000 4.7214
Sr Li Zn Rh
1 1 2 1
direct
0.0000 0.0000 0.0000
0.5000 0.5000 0.0000
0.0000 0.5000 0.5000
0.5000 0.0000 0.5000
0.5000 0.5000 0.5000

=====

# 4
PBE Li14CuRh, relaxed; theoretical density = 1.62 g/cm³; N(E_F) = 0.518 states/eV per atom; energy of formation from the pure elements = -3 meV per atom; spin magnetization = 0.00 μB/cell
1.0
9.4117 0.0000 0.0000
0.0000 2.8012 5.1144
0.0000 -2.8012 5.1144
Li Cu Rh
14 1 1
direct
0.0000 0.0000 0.0000
0.0000 0.4983 0.4983
0.0000 0.4996 0.9954
0.0000 0.9954 0.4996
0.2632 0.3318 0.3318
0.2631 0.8340 0.8340
0.2779 0.3417 0.8532
0.2779 0.8532 0.3417
0.5000 0.1830 0.6791
0.5000 0.6791 0.1830
0.7221 0.3417 0.8532
0.7221 0.8532 0.3417
0.7368 0.3318 0.3318
0.7369 0.8340 0.8340
0.5000 0.6871 0.6871
0.5000 0.1910 0.1910

=====

# 5
PBE SrLiLa2Tc, relaxed; theoretical density = 4.64 g/cm³; N(E_F) = 0.935 states/eV per atom; energy of formation from the pure elements = 155 meV per atom; spin magnetization = 0.00 μB/cell; energy relative to the lowest polymorph listed for this composition = 11 meV/atom
1.0
5.3674 0.0000 0.0000
0.0000 5.3674 0.0000
0.0000 0.0000 5.8401
Sr Li La Tc
1 1 2 1
direct
0.0000 0.0000 0.0000
0.5000 0.5000 0.0000
0.0000 0.5000 0.5000
0.5000 0.0000 0.5000
0.5000 0.5000 0.5000

=====

# 6
PBE Rb3Pm2PrTe6, relaxed; theoretical density = 5.03 g/cm³; spin magnetization = 0.00 μB/cell; raw formation energy = -1.409 eV/atom
1.0
4.0198 -6.9628 0.0000
4.0198 6.9628 0.0000
-2.6797 0.0000 8.5732
Rb Pm Pr Te
3 2 1 6
direct
0.0000 0.0000 0.0000
0.3340 0.6660 0.0000
0.6660 0.3340 0.0000
0.1667 0.8333 0.5000
0.8333 0.1667 0.5000
0.5000 0.5000 0.5000
0.0952 0.4317 0.2952
0.2317 0.2317 0.7047
0.4317 0.0952 0.2952
0.5683 0.9048 0.7048
0.7683 0.7683 0.2953
0.9048 0.5683 0.7048

=====

Energy across the listed records, respectively: -3.85 -7.46 -2.94 -2.39 -4.61 -4.41 eV per atom.